DFT (GGA-PBE) results for a relaxed structure of K4TbSm3Se8.

abc: 8.563 9.150 8.564
angles: 117.92 120.00 90.00
Fractional coordinates of all 16 atoms:
1 K 0.500 0.000 0.000
2 K 0.500 0.000 0.500
3 K 0.000 0.000 0.000
4 K 0.000 0.000 0.500
5 Tb 0.000 0.500 0.000
6 Sm 0.500 0.500 0.000
7 Sm 0.500 0.500 0.500
8 Sm 0.000 0.500 0.500
9 Se 0.234 0.708 0.974
10 Se 0.234 0.708 0.468
11 Se 0.264 0.291 0.527
12 Se 0.740 0.708 0.974
13 Se 0.260 0.292 0.026
14 Se 0.736 0.709 0.473
15 Se 0.766 0.292 0.532
16 Se 0.766 0.292 0.026

DOS at the Fermi energy: 0.0 states/eV per cell
M_tot: 0.0 μB per cell
Space-group type: No. 166
Uncorrected energy: -4.95 eV per atom
ΔE_f (raw): -1.761 eV per atom